A relaxed Pm5Ho4Tm crystal, computed with PBE.

```
data_Pm5Ho4Tm
_space_group_name_H-M_alt 'C 1 2/m 1'
_space_group_IT_number 12
_space_group_name_Hall '-C 2y'
_cell_length_a 17.018
_cell_length_b 3.553
_cell_length_c 11.463
_cell_angle_alpha 90.00
_cell_angle_beta 108.82
_cell_angle_gamma 90.00
loop_
_atom_site_label
_atom_site_type_symbol
_atom_site_fract_x
_atom_site_fract_y
_atom_site_fract_z
Pm1 Pm 0.000 0.000 0.000
Pm2 Pm 0.188 0.500 0.576
Pm3 Pm 0.211 0.500 0.116
Ho1 Ho 0.083 0.500 0.790
Ho2 Ho 0.104 0.000 0.297
Tm1 Tm 0.000 0.000 0.500
```

* offset from the most stable computed form: 0.019 eV per atom
* DFT formation energy: 0.036 eV/atom